No. 1
VASP calculation (GGA-PBE) on LaDy6Ho3Er2 after structural relaxation.

Output
Energy of formation (eV per atom): 0.022
Total magnetization (μB/atom): 0.000
Mass density (g/cm3): 8.5

Lattice parameters (Å, degrees): 6.148 10.641 11.778 90.00 99.98 90.00
Space group C2/m (No. 12)
Inequivalent atoms, fractional coordinates:
La (0.000, 0.000, 0.000) x2
Dy (0.248, 0.333, 0.748) x8
Dy (0.250, 0.000, 0.747) x4
Ho (0.000, 0.167, 0.500) x4
Ho (0.000, 0.500, 0.500) x2
Er (0.000, 0.333, 0.000) x4

=====

No. 2
VASP calculation (GGA-PBE) on ZrNiTe2 after structural relaxation.

Output
Total magnetization (μB/atom): 0.184
Mass density (g/cm3): 7.5
Energy relative to the elements, uncorrected (kcal/mol of atoms): -6.6

Lattice parameters (Å, degrees): 3.8332 3.8332 21.1284 90.00 90.00 120.00
Space group R-3m (No. 166, hexagonal axes)
Inequivalent atoms, fractional coordinates:
Zr (0.0000, 0.0000, 0.0000) x3
Ni (0.0000, 0.0000, 0.5000) x3
Te (0.0000, 0.0000, 0.2396) x6

=====

No. 3
VASP calculation (GGA-PBE) on Ca3As2Au after structural relaxation.

Output
Energy of formation (eV per atom): -0.955
Total magnetization (μB/atom): 0.133
Mass density (g/cm3): 5.1

Lattice parameters (Å, degrees): 11.696 4.382 11.959 90.00 90.00 90.00
Space group Pnma (No. 62)
Inequivalent atoms, fractional coordinates:
Ca (0.058, 0.250, 0.123) x4
Ca (0.126, 0.750, 0.556) x4
Ca (0.207, 0.250, 0.806) x4
As (0.013, 0.750, 0.315) x4
As (0.182, 0.750, 0.997) x4
Au (0.133, 0.250, 0.366) x4

=====

No. 4
VASP calculation (GGA-PBE) on La2CdGa7 after structural relaxation.

Output
Energy of formation (eV per atom): -0.476
Total magnetization (μB/atom): 0.000
Mass density (g/cm3): 6.8

Lattice parameters (Å, degrees): 4.468 4.468 10.717 90.00 90.00 90.00
Space group P-4m2 (No. 115)
Inequivalent atoms, fractional coordinates:
La (0.000, 0.500, 0.243) x2
Cd (0.000, 0.000, 0.500) x1
Ga (0.000, 0.000, 0.000) x1
Ga (0.000, 0.500, 0.641) x2
Ga (0.000, 0.500, 0.873) x2
Ga (0.500, 0.500, 0.000) x1
Ga (0.500, 0.500, 0.500) x1

=====

No. 5
VASP calculation (GGA-PBE) on NaScTeI2 after structural relaxation.

Output
Total magnetization (μB/atom): 0.000
Mass density (g/cm3): 3.9
Energy relative to the elements, uncorrected (kcal/mol of atoms): -21.8

Lattice parameters (Å, degrees): 5.876 5.876 5.588 90.00 90.00 90.00
Space group P4/mmm (No. 123)
Inequivalent atoms, fractional coordinates:
Na (0.000, 0.000, 0.000) x1
Sc (0.500, 0.500, 0.500) x1
Te (0.500, 0.500, 0.000) x1
I (0.000, 0.500, 0.500) x2

=====

No. 6
VASP calculation (GGA-PBE) on Np2W2N7 after structural relaxation.

Output
Total magnetization (μB/atom): 0.455
Mass density (g/cm3): 9.3
Energy relative to the elements, uncorrected (kcal/mol of atoms): -15.3

Lattice parameters (Å, degrees): 6.794 9.572 5.264 90.00 99.86 90.00
Space group C2/m (No. 12)
Inequivalent atoms, fractional coordinates:
Np (0.000, 0.186, 0.000) x4
W (0.250, 0.000, 0.601) x4
N (0.000, 0.500, 0.500) x2
N (0.078, 0.000, 0.266) x4
N (0.234, 0.332, 0.203) x8

=====

> Which value of mass density does entry 3 give?

5.1 g/cm3

=====

> Which formula does entry 1 have?

LaDy6Ho3Er2